1.
VASP calculation (PBE) on AcPm4Ho5 after structural relaxation.

The value obtained for the energy of formation is 0.032 eV per atom. The total energy is -45.68 eV/cell. The distance to the lowest polymorph of the same formula comes out at 0.000 eV/atom.

The space group is P4/mmm (No. 123) and the conventional cell measures 3.646, 3.646 and 25.253 Å, with angles of 90.00, 90.00 and 90.00 degrees. The inequivalent atoms are Ac at (0.000, 0.000, 0.000), Pm at (0.000, 0.000, 0.205), Pm at (0.000, 0.000, 0.402), Ho at (0.500, 0.500, 0.107), Ho at (0.500, 0.500, 0.303) and Ho at (0.500, 0.500, 0.500).

***

2.
VASP calculation (PBE) on Hf3Sb2As after structural relaxation.

For the raw formation energy, the calculation gives -581 meV/atom. The total energy is -184.96 eV/cell.

The space group is C2/m (No. 12) and the conventional cell measures 6.928, 12.051 and 6.964 Å, with angles of 90.00, 109.43 and 90.00 degrees. The inequivalent atoms are Hf at (0.198, 0.000, 0.201), Hf at (0.237, 0.181, 0.769), Sb at (0.000, 0.000, 0.500), Sb at (0.000, 0.353, 0.500), Sb at (0.000, 0.500, 0.000) and As at (0.000, 0.175, 0.000).

***

3.
VASP calculation (PBE) on Al2ZnBr after structural relaxation.

For the raw formation energy, the calculation gives 63 meV/atom. The total energy is -30.54 eV/cell. The distance to the lowest polymorph of the same formula comes out at 0.000 eV/atom.

The space group is R3m (No. 160, hexagonal axes) and the conventional cell measures 3.6834, 3.6834 and 22.2188 Å, with angles of 90.00, 90.00 and 120.00 degrees. The inequivalent atoms are Al at (0.0000, 0.0000, 0.0000), Al at (0.0000, 0.0000, 0.2577), Zn at (0.0000, 0.0000, 0.5227) and Br at (0.0000, 0.0000, 0.7504).

***

4.
VASP calculation (PBE) on LiGdHoEr after structural relaxation.

The value obtained for the energy of formation is 0.167 eV per atom. The total energy is -97.86 eV/cell.

The space group is F-43m (No. 216) and the conventional cell measures 7.717, 7.717 and 7.717 Å, with angles of 90.00, 90.00 and 90.00 degrees. The inequivalent atoms are Li at (0.000, 0.000, 0.000), Gd at (0.250, 0.250, 0.250), Ho at (0.250, 0.250, 0.750) and Er at (0.000, 0.000, 0.500).

***

5.
VASP calculation (PBE) on RbSrSc2Fe after structural relaxation.

The value obtained for the energy of formation is 1.678 eV per atom. The total energy is -15.39 eV/cell.

The space group is P4/mmm (No. 123) and the conventional cell measures 5.890, 5.890 and 4.958 Å, with angles of 90.00, 90.00 and 90.00 degrees. The inequivalent atoms are Rb at (0.000, 0.000, 0.000), Sr at (0.500, 0.500, 0.500), Sc at (0.000, 0.500, 0.500) and Fe at (0.500, 0.500, 0.000).

***

6.
VASP calculation (PBE) on Ta2CdPt after structural relaxation.

The value obtained for the energy of formation is -0.060 eV per atom. The total energy is -30.90 eV/cell.

The space group is Pm (No. 6) and the conventional cell measures 2.827, 4.729 and 5.280 Å, with angles of 90.00, 93.73 and 90.00 degrees. The inequivalent atoms are Ta at (0.000, 0.000, 0.000), Ta at (0.154, 0.500, 0.694), Cd at (0.582, 0.500, 0.200) and Pt at (0.565, 0.000, 0.504).

***

7.
VASP calculation (PBE) on Rb2TbAlS4 after structural relaxation.

For the raw formation energy, the calculation gives -1442 meV/atom. The total energy is -76.71 eV/cell.

The space group is I-4 (No. 82) and the conventional cell measures 7.255, 7.255 and 9.812 Å, with angles of 90.00, 90.00 and 90.00 degrees. The inequivalent atoms are Rb at (0.000, 0.000, 0.000), Rb at (0.000, 0.500, 0.250), Tb at (0.000, 0.000, 0.500), Al at (0.000, 0.500, 0.750) and S at (0.149, 0.275, 0.631).

***

8.
VASP calculation (PBE) on PrMo2Os2 after structural relaxation.

The value obtained for the energy of formation is -0.031 eV per atom. The total energy is -98.12 eV/cell.

The space group is I4/mmm (No. 139) and the conventional cell measures 4.385, 4.385 and 10.441 Å, with angles of 90.00, 90.00 and 90.00 degrees. The inequivalent atoms are Pr at (0.000, 0.000, 0.000), Mo at (0.000, 0.500, 0.250) and Os at (0.000, 0.000, 0.373).

***

9.
VASP calculation (PBE) on K3YSc3Te8 after structural relaxation.

For the raw formation energy, the calculation gives -1230 meV/atom. The total energy is -144.66 eV/cell.

The space group is C2/m (No. 12) and the conventional cell measures 14.630, 8.455 and 9.762 Å, with angles of 90.00, 119.92 and 90.00 degrees. The inequivalent atoms are K at (0.000, 0.000, 0.000), K at (0.250, 0.250, 0.000), Y at (0.000, 0.000, 0.500), Sc at (0.000, 0.500, 0.500), Sc at (0.250, 0.250, 0.500), Te at (0.019, 0.261, 0.296), Te at (0.233, 0.500, 0.698) and Te at (0.242, 0.000, 0.704).

***

10.
VASP calculation (PBE) on Mn4BeIn after structural relaxation.

The value obtained for the energy of formation is 0.390 eV per atom. The total energy is -163.22 eV/cell.

The space group is F-43m (No. 216) and the conventional cell measures 6.693, 6.693 and 6.693 Å, with angles of 90.00, 90.00 and 90.00 degrees. The inequivalent atoms are Mn at (0.124, 0.124, 0.124), Be at (0.250, 0.250, 0.750) and In at (0.000, 0.000, 0.500).

***

11.
VASP calculation (PBE) on Rb3CdRe2O9 after structural relaxation.

For the raw formation energy, the calculation gives -1568 meV/atom. The total energy is -96.86 eV/cell.

The space group is P-3m1 (No. 164) and the conventional cell measures 5.8288, 5.8288 and 7.2757 Å, with angles of 90.00, 90.00 and 120.00 degrees. The inequivalent atoms are Rb at (0.0000, 0.0000, 0.0000), Rb at (0.3333, 0.6667, 0.6621), Cd at (0.0000, 0.0000, 0.5000), Re at (0.3333, 0.6667, 0.1616), O at (0.0000, 0.5000, 0.0000) and O at (0.1807, 0.3614, 0.3012).

***

12.
VASP calculation (PBE) on Ac4Sn2Pt after structural relaxation.

The value obtained for the energy of formation is -0.756 eV per atom. The total energy is -71.55 eV/cell.

The space group is C2/m (No. 12) and the conventional cell measures 12.672, 4.903 and 9.512 Å, with angles of 90.00, 122.36 and 90.00 degrees. The inequivalent atoms are Ac at (0.081, 0.000, 0.358), Ac at (0.174, 0.500, 0.068), Sn at (0.132, 0.500, 0.653) and Pt at (0.000, 0.000, 0.000).

***

13.
VASP calculation (PBE) on HoAl4IrRh2 after structural relaxation.

The value obtained for the energy of formation is -0.857 eV per atom. The total energy is -149.89 eV/cell.

The space group is R-3m (No. 166, hexagonal axes) and the conventional cell measures 4.2074, 4.2074 and 25.9739 Å, with angles of 90.00, 90.00 and 120.00 degrees. The inequivalent atoms are Ho at (0.0000, 0.0000, 0.0000), Al at (0.0000, 0.0000, 0.1323), Al at (0.0000, 0.0000, 0.4026), Ir at (0.0000, 0.0000, 0.5000) and Rh at (0.0000, 0.0000, 0.2360).

***

14.
VASP calculation (PBE) on Tb3PmTm4 after structural relaxation.

The value obtained for the energy of formation is 0.173 eV per atom. The total energy is -70.28 eV/cell. The distance to the lowest polymorph of the same formula comes out at 0.163 eV/atom.

The space group is C2/m (No. 12) and the conventional cell measures 23.366, 3.447 and 6.628 Å, with angles of 90.00, 106.36 and 90.00 degrees. The inequivalent atoms are Tb at (0.000, 0.000, 0.000), Tb at (0.127, 0.000, 0.874), Pm at (0.000, 0.500, 0.500), Tm at (0.126, 0.000, 0.385) and Tm at (0.240, 0.500, 0.737).

***

15.
VASP calculation (PBE) on LaPmSnBr after structural relaxation.

For the raw formation energy, the calculation gives -945 meV/atom. The total energy is -76.54 eV/cell.

The space group is F-43m (No. 216) and the conventional cell measures 7.741, 7.741 and 7.741 Å, with angles of 90.00, 90.00 and 90.00 degrees. The inequivalent atoms are La at (0.000, 0.000, 0.000), Pm at (0.000, 0.000, 0.500), Sn at (0.250, 0.250, 0.750) and Br at (0.250, 0.250, 0.250).

***

16.
VASP calculation (PBE) on RbZrV2Ru after structural relaxation.

The value obtained for the energy of formation is 2.577 eV per atom. The total energy is -24.14 eV/cell.

The space group is P4/mmm (No. 123) and the conventional cell measures 4.397, 4.397 and 5.021 Å, with angles of 90.00, 90.00 and 90.00 degrees. The inequivalent atoms are Rb at (0.000, 0.000, 0.000), Zr at (0.000, 0.000, 0.500), V at (0.000, 0.500, 0.000) and Ru at (0.500, 0.500, 0.500).

***

17.
VASP calculation (PBE) on ZrTe2Cl after structural relaxation.

For the raw formation energy, the calculation gives -380 meV/atom. The total energy is -72.80 eV/cell. The distance to the lowest polymorph of the same formula comes out at 0.465 eV/atom.

The space group is Fm-3m (No. 225) and the conventional cell measures 7.314, 7.314 and 7.314 Å, with angles of 90.00, 90.00 and 90.00 degrees. The inequivalent atoms are Zr at (0.000, 0.000, 0.000), Te at (0.250, 0.250, 0.250) and Cl at (0.000, 0.000, 0.500).

***

18.
VASP calculation (PBE) on KTc2Au after structural relaxation.

The value obtained for the energy of formation is 0.938 eV per atom. The total energy is -21.35 eV/cell. The distance to the lowest polymorph of the same formula comes out at 0.514 eV/atom.

The space group is P4/mmm (No. 123) and the conventional cell measures 2.677, 2.677 and 10.392 Å, with angles of 90.00, 90.00 and 90.00 degrees. The inequivalent atoms are K at (0.000, 0.000, 0.000), Tc at (0.500, 0.500, 0.285) and Au at (0.000, 0.000, 0.500).

***

19.
VASP calculation (PBE) on Li2ZrIO6 after structural relaxation.

For the raw formation energy, the calculation gives -1705 meV/atom. The total energy is -182.17 eV/cell.

The space group is R3 (No. 146, hexagonal axes) and the conventional cell measures 5.2955, 5.2955 and 14.2290 Å, with angles of 90.00, 90.00 and 120.00 degrees. The inequivalent atoms are Li at (0.0000, 0.0000, 0.0000), Li at (0.0000, 0.0000, 0.4894), Zr at (0.0000, 0.0000, 0.2128), I at (0.0000, 0.0000, 0.7093), O at (0.0362, 0.3363, 0.7838) and O at (0.0431, 0.6876, 0.2894).

***

20.
VASP calculation (PBE) on CaSmGaSi after structural relaxation.

For the raw formation energy, the calculation gives -613 meV/atom. The total energy is -35.24 eV/cell.

The space group is Amm2 (No. 38) and the conventional cell measures 4.039, 4.446 and 10.966 Å, with angles of 90.00, 90.00 and 90.00 degrees. The inequivalent atoms are Ca at (0.000, 0.000, 0.000), Sm at (0.500, 0.000, 0.279), Ga at (0.500, 0.000, 0.570) and Si at (0.000, 0.000, 0.715).